DFT (PBE) results for a relaxed LiPmZnN2 crystal.

CIF file:
```
data_LiPmZnN2
_cell_length_a 5.6754
_cell_length_b 3.8448
_cell_length_c 6.3533
_cell_angle_alpha 90.00
_cell_angle_beta 96.42
_cell_angle_gamma 90.00
_symmetry_space_group_name_H-M 'P 1 2/c 1'
_symmetry_Int_Tables_number 13
_symmetry_space_group_name_Hall '-P 2yc'
loop_
_atom_site_label
_atom_site_type_symbol
_atom_site_fract_x
_atom_site_fract_y
_atom_site_fract_z
_atom_site_occupancy
Li1 Li 0.0000 0.0227 0.2500 1
Pm1 Pm 0.5000 0.2467 0.7500 1
Zn1 Zn 0.0000 0.5000 0.0000 1
N1 N 0.2627 0.2140 0.0609 1
```

Output
- volume (Å³/cell) = 137.8
- uncorrected formation energy (kJ per mole of atoms) = -59.0